1.
# BaReO4

A relaxed structure of BaReO4 (PBE, OQMD via LeMat-Bulk).

abc: 7.3849 7.3849 5.6842
angles: 112.60 112.60 113.89
Site moments in Bohr magnetons follow the coordinates.
Element x y z (fractional)
O 0.2039 0.3109 0.3737  0.05
Ba 0.1255 0.8745 0.2500  0.02
Re 0.6238 0.3762 0.2500  0.64
O 0.8269 0.4371 0.1390  0.06
Ba 0.8745 0.1255 0.7500  0.02
O 0.6891 0.7961 0.1263  0.06
O 0.4371 0.8269 0.6390  0.06
Re 0.3762 0.6238 0.7500  0.64
O 0.1731 0.5629 0.8610  0.06
O 0.3109 0.2039 0.8737  0.06
O 0.5629 0.1731 0.3610  0.06
O 0.7961 0.6891 0.6263  0.05

Results
* relative energy among the computed polymorphs: 2 meV per atom
* total magnetization: 0.167 μB per atom
* total energy: -7.782 eV/atom

---

2.
# KH2Pd2

A relaxed structure of KH2Pd2 (PBE, OQMD via LeMat-Bulk).

abc: 3.8684 3.8684 10.9237
angles: 90.00 90.00 90.00
Element x y z (fractional)
H 0.7500 0.2500 0.4925
H 0.7500 0.2500 0.0075
K 0.7508 0.2492 0.7500
Pd 0.2500 0.2500 0.5000
K 0.2492 0.7508 0.2500
Pd 0.7500 0.7500 0.5000
H 0.2500 0.7500 0.9925
Pd 0.2500 0.2500 0.0000
H 0.2500 0.7500 0.5075
Pd 0.7500 0.7500 0.0000

Results
* total energy: -3.849 eV/atom

---

3.
# Tm2Nb2S

A relaxed structure of Tm2Nb2S (PBE, OQMD via LeMat-Bulk).

abc: 9.6107 6.0662 10.9011
angles: 61.42 33.66 84.92
Element x y z (fractional)
S 0.1136 0.1136 0.3864
Tm 0.7006 0.5272 0.9717
Nb 0.0812 0.6582 0.9176
Tm 0.5272 0.7006 0.8004
Tm 0.2783 0.4496 0.5494
Nb 0.9069 0.3324 0.5918
S 0.8636 0.8636 0.1364
Nb 0.3324 0.9069 0.1688
Tm 0.4496 0.2783 0.7228
Nb 0.6582 0.0812 0.3431

Results
* total magnetization: 0.000 μB per atom
* total energy: -6.887 eV/atom

---

4.
# TaInSi

A relaxed structure of TaInSi (PBE, OQMD via LeMat-Bulk).

abc: 4.3944 4.3944 4.3944
angles: 60.00 60.00 60.00
Element x y z (fractional)
Ta 0.7500 0.7500 0.7500
In 0.2500 0.2500 0.2500
Si 0.0000 0.0000 0.0000

Results
* total magnetization: 0.033 μB per atom
* total energy: -6.114 eV/atom

---

5.
# BaPrGaSe3

A relaxed structure of BaPrGaSe3 (PBE, OQMD via LeMat-Bulk).

abc: 7.7561 7.7561 10.9736
angles: 90.00 90.00 146.25
Element x y z (fractional)
Se 0.4071 0.5929 0.7500
Se 0.1384 0.8616 0.9558
Ga 0.0239 0.9761 0.7500
Ba 0.2516 0.7484 0.2500
Ba 0.7484 0.2516 0.7500
Se 0.8616 0.1384 0.4558
Se 0.8616 0.1384 0.0442
Se 0.1384 0.8616 0.5442
Pr 0.5000 0.5000 0.5000
Se 0.5929 0.4071 0.2500
Ga 0.9761 0.0239 0.2500
Pr 0.5000 0.5000 0.0000

Results
* total magnetization: 0.001 μB per atom
* total energy: -4.719 eV/atom

---

6.
# NaZn2

A relaxed structure of NaZn2 (PBE, OQMD via LeMat-Bulk).

abc: 5.0774 10.3376 4.3907
angles: 90.00 90.00 90.00
Element x y z (fractional)
Zn 0.5337 0.2189 0.0000
Zn 0.2996 0.7189 0.5000
Zn 0.5337 0.7811 0.0000
Na 0.3934 0.0000 0.5000
Zn 0.7996 0.2189 0.5000
Na 0.8935 0.5000 0.5000
Zn 0.0337 0.7189 0.0000
Na 0.9398 0.0000 0.0000
Zn 0.0337 0.2811 0.0000
Zn 0.2996 0.2811 0.5000
Zn 0.7996 0.7811 0.5000
Na 0.4399 0.5000 0.0000

Results
* total energy: -1.314 eV/atom

---

7.
# ZnICl

A relaxed structure of ZnICl (PBE, OQMD via LeMat-Bulk).

abc: 3.8822 4.1601 12.4201
angles: 90.00 90.00 90.00
Element x y z (fractional)
I 0.0000 0.0000 0.1309
Zn 0.0000 0.5000 0.2607
I 0.5000 0.5000 0.8691
Cl 0.0000 0.0000 0.6344
Zn 0.5000 0.0000 0.7393
Cl 0.5000 0.5000 0.3656

Results
* relative energy among the computed polymorphs: 0 meV per atom
* total energy: -2.385 eV/atom

---

8.
# HfHgBi

A relaxed structure of HfHgBi (PBE, OQMD via LeMat-Bulk).

abc: 4.9427 4.9427 4.9427
angles: 60.00 60.00 60.00
Element x y z (fractional)
Bi 0.2500 0.2500 0.2500
Hg 0.0000 0.0000 0.0000
Hf 0.7500 0.7500 0.7500

Results
* relative energy among the computed polymorphs: 327 meV per atom
* total magnetization: 0.000 μB per atom
* total energy: -4.223 eV/atom

---

9.
# Np2Te3

A relaxed structure of Np2Te3 (PBE, OQMD via LeMat-Bulk).

abc: 10.8447 10.8447 10.8447
angles: 23.34 23.34 23.34
Site moments in Bohr magnetons follow the coordinates.
Element x y z (fractional)
Np 0.3939 0.3939 0.3939  3.95
Te 0.7798 0.7798 0.7798  -0.12
Np 0.6061 0.6061 0.6061  3.95
Te 0.2202 0.2202 0.2202  -0.12
Te 0.0000 0.0000 0.0000  -0.10

Results
* total magnetization: 1.601 μB per atom
* total energy: -7.650 eV/atom

---

10.
# MgRe2Sn

A relaxed structure of MgRe2Sn (PBE, OQMD via LeMat-Bulk).

abc: 4.5391 4.5391 4.5391
angles: 60.00 60.00 60.00
Element x y z (fractional)
Sn 0.5000 0.5000 0.5000
Mg 0.2500 0.2500 0.2500
Re 0.7500 0.7500 0.7500
Re 0.0000 0.0000 0.0000

Results
* total magnetization: 0.006 μB per atom
* total energy: -7.165 eV/atom

---

11.
# Y2Ge3Mo4N3

A relaxed structure of Y2Ge3Mo4N3 (PBE, OQMD via LeMat-Bulk).

abc: 5.5670 5.5670 13.4495
angles: 102.48 102.48 60.31
Element x y z (fractional)
Y 0.5384 0.3699 0.6149
Mo 0.9606 0.8165 0.9218
Mo 0.3048 0.1296 0.9222
Mo 0.0394 0.1835 0.0782
Mo 0.1835 0.0394 0.5782
Ge 0.1086 0.4147 0.7512
N 0.0000 0.5000 0.0000
Ge 0.4147 0.1086 0.2512
N 0.5000 0.0000 0.5000
Ge 0.0657 0.9343 0.7500
Y 0.4616 0.6301 0.3851
N 0.8198 0.3397 0.5000
Y 0.3699 0.5384 0.1149
Mo 0.1296 0.3048 0.4222
Mo 0.8165 0.9606 0.4218
Ge 0.5853 0.8914 0.7488
Mo 0.8704 0.6952 0.5778
Ge 0.9343 0.0657 0.2500
N 0.3397 0.8198 0.0000
Ge 0.8914 0.5853 0.2488
Y 0.6301 0.4616 0.8851
N 0.1802 0.6603 0.5000
N 0.6603 0.1802 0.0000
Mo 0.6952 0.8704 0.0778

Results
* total magnetization: 0.000 μB per atom
* total energy: -8.459 eV/atom

---

12.
# PuCdAg

A relaxed structure of PuCdAg (PBE, OQMD via LeMat-Bulk).

abc: 5.0759 5.0759 3.0047
angles: 90.00 90.00 120.00
Site moments in Bohr magnetons follow the coordinates.
Element x y z (fractional)
Ag 0.3333 0.6667 0.1669  0.02
Pu 0.6667 0.3333 0.6667  5.59
Cd 0.0000 0.0000 0.1664  0.00

Results
* formation energy from the elements: -158 meV per atom
* total magnetization: 1.962 μB per atom
* total energy: -6.107 eV/atom

---

13.
# NaCoH4

A relaxed structure of NaCoH4 (PBE, OQMD via LeMat-Bulk).

abc: 4.9904 4.9904 4.9904
angles: 124.22 124.22 82.83
Element x y z (fractional)
H 0.8872 0.9692 0.5957
H 0.0415 0.1372 0.4180
Na 0.2500 0.7500 0.5000
H 0.3734 0.2915 0.4043
Na 0.5000 0.5000 0.0000
H 0.8628 0.2808 0.9043
Co 0.7500 0.2500 0.5000
H 0.7192 0.6234 0.5820
H 0.3766 0.9585 0.0957
H 0.0308 0.6266 0.9180
Co 0.0000 0.0000 0.0000
H 0.7085 0.1128 0.0820

Results
* total magnetization: 0.000 μB per atom
* total energy: -3.639 eV/atom

---

14.
# NbFeCuAs

A relaxed structure of NbFeCuAs (PBE, OQMD via LeMat-Bulk).

abc: 4.3340 4.3340 4.3340
angles: 60.00 60.00 60.00
Element x y z (fractional)
Fe 0.5000 0.5000 0.5000
Nb 0.2500 0.2500 0.2500
As 0.0000 0.0000 0.0000
Cu 0.7500 0.7500 0.7500

Results
* relative energy among the computed polymorphs: 0 meV per atom
* total magnetization: 0.336 μB per atom
* total energy: -6.567 eV/atom

---

15.
# PmSmTc

A relaxed structure of PmSmTc (PBE, OQMD via LeMat-Bulk).

abc: 4.8229 4.8229 4.8229
angles: 60.00 60.00 60.00
Element x y z (fractional)
Sm 0.0000 0.0000 0.0000
Pm 0.2500 0.2500 0.2500
Tc 0.7500 0.7500 0.7500

Results
* formation energy from the elements: 932 meV per atom
* total magnetization: 0.159 μB per atom
* total energy: -5.673 eV/atom

---

16.
# RbSmTeSe

A relaxed structure of RbSmTeSe (PBE, OQMD via LeMat-Bulk).

abc: 8.6980 8.6980 8.6980
angles: 29.67 29.67 29.67
Element x y z (fractional)
Se 0.7673 0.7673 0.7673
Te 0.2345 0.2345 0.2345
Sm 0.4944 0.4944 0.4944
Rb 0.0037 0.0037 0.0037

Results
* total magnetization: 0.000 μB per atom
* total energy: -4.638 eV/atom

---

17.
# TcBiW2

A relaxed structure of TcBiW2 (PBE, OQMD via LeMat-Bulk).

abc: 4.6301 4.6301 4.6301
angles: 60.00 60.00 60.00
Element x y z (fractional)
W 0.0000 0.0000 0.0000
W 0.7500 0.7500 0.7500
Bi 0.5000 0.5000 0.5000
Tc 0.2500 0.2500 0.2500

Results
* total magnetization: 0.010 μB per atom
* total energy: -9.293 eV/atom

---

18.
# TlAg7

A relaxed structure of TlAg7 (PBE, OQMD via LeMat-Bulk).

abc: 2.9256 2.9256 43.6217
angles: 90.00 90.00 90.00
Element x y z (fractional)
Ag 0.5000 0.0000 0.3835
Ag 0.5000 0.0000 0.6633
Tl 0.5000 0.0000 0.8645
Tl 0.0000 0.5000 0.1355
Ag 0.0000 0.5000 0.7106
Ag 0.5000 0.0000 0.4766
Ag 0.5000 0.0000 0.2894
Ag 0.0000 0.5000 0.4299
Ag 0.5000 0.0000 0.1944
Ag 0.0000 0.5000 0.6165
Ag 0.0000 0.5000 0.3367
Ag 0.0000 0.5000 0.8056
Ag 0.0000 0.5000 0.5234
Ag 0.5000 0.0000 0.7580
Ag 0.5000 0.0000 0.5701
Ag 0.0000 0.5000 0.2420

Results
* total energy: -2.708 eV/atom

---

19.
# Pr2YTl2Zn3Cd

A relaxed structure of Pr2YTl2Zn3Cd (PBE, OQMD via LeMat-Bulk).

abc: 4.6273 7.3819 7.3819
angles: 119.14 90.00 90.00
Element x y z (fractional)
Tl 0.5000 0.3351 0.6597
Zn 0.5000 0.7732 0.7732
Pr 0.0000 0.9971 0.5756
Tl 0.5000 0.6597 0.3351
Y 0.0000 0.4206 0.4206
Cd 0.0000 0.0095 0.0095
Pr 0.0000 0.5756 0.9971
Zn 0.5000 0.9995 0.2298
Zn 0.5000 0.2298 0.9995

Results
* total magnetization: 0.002 μB per atom
* total energy: -3.134 eV/atom

---

20.
# NdCu

A relaxed structure of NdCu (PBE, OQMD via LeMat-Bulk).

abc: 3.5328 3.5328 4.3602
angles: 90.00 90.00 120.00
Element x y z (fractional)
Nd 0.3333 0.6667 0.2500
Cu 0.6667 0.3333 0.7500

Results
* formation energy from the elements: 112 meV per atom
* total magnetization: 0.001 μB per atom
* total energy: -4.128 eV/atom